Record 1
Below is crystalline AcGdLuCd at its relaxed geometry, with properties calculated at the PBE level.

Computed properties:
theoretical density	8.8	g/cm3
total magnetic moment	1.95	μB/atom
symmetry	F-43m, No. 216
E_tot	-5.93	eV per atom
crystal system	cubic
ΔE_f	-27	meV per atom

Geometry as CIF:
```
data_AcGdLuCd
_chemical_formula_sum 'Ac1 Gd1 Lu1 Cd1'
_cell_length_a 5.640
_cell_length_b 5.640
_cell_length_c 5.640
_cell_angle_alpha 60.00
_cell_angle_beta 60.00
_cell_angle_gamma 60.00
_symmetry_space_group_name_H-M 'P 1'
_symmetry_Int_Tables_number 1
loop_
_symmetry_equiv_pos_as_xyz
'x,y,z'
loop_
_atom_site_label
_atom_site_type_symbol
_atom_site_fract_x
_atom_site_fract_y
_atom_site_fract_z
Gd1 Gd 0.500 0.500 0.500
Ac1 Ac 0.000 0.000 0.000
Lu1 Lu 0.250 0.250 0.250
Cd1 Cd 0.750 0.750 0.750
```

=====

Record 2
Below is crystalline AcGdMgCd at its relaxed geometry, with properties calculated at the PBE level.

Computed properties:
theoretical density	7.0	g/cm3
total magnetic moment	1.98	μB/atom
symmetry	F-43m, No. 216
E_tot	-5.35	eV per atom
crystal system	cubic
ΔE_f	-174	meV per atom

Geometry as CIF:
```
data_AcGdMgCd
_chemical_formula_sum 'Ac1 Gd1 Mg1 Cd1'
_cell_length_a 5.597
_cell_length_b 5.597
_cell_length_c 5.597
_cell_angle_alpha 60.00
_cell_angle_beta 60.00
_cell_angle_gamma 60.00
_symmetry_space_group_name_H-M 'P 1'
_symmetry_Int_Tables_number 1
loop_
_symmetry_equiv_pos_as_xyz
'x,y,z'
loop_
_atom_site_label
_atom_site_type_symbol
_atom_site_fract_x
_atom_site_fract_y
_atom_site_fract_z
Ac1 Ac 0.000 0.000 0.000
Gd1 Gd 0.500 0.500 0.500
Mg1 Mg 0.750 0.750 0.750
Cd1 Cd 0.250 0.250 0.250
```

=====

Record 3
Below is crystalline NaAcGdCd at its relaxed geometry, with properties calculated at the PBE level.

Computed properties:
theoretical density	6.7	g/cm3
total magnetic moment	2.01	μB/atom
symmetry	F-43m, No. 216
E_tot	-5.11	eV per atom
crystal system	cubic
ΔE_f	1	meV per atom

Geometry as CIF:
```
data_NaAcGdCd
_chemical_formula_sum 'Na1 Ac1 Gd1 Cd1'
_cell_length_a 5.675
_cell_length_b 5.675
_cell_length_c 5.675
_cell_angle_alpha 60.00
_cell_angle_beta 60.00
_cell_angle_gamma 60.00
_symmetry_space_group_name_H-M 'P 1'
_symmetry_Int_Tables_number 1
loop_
_symmetry_equiv_pos_as_xyz
'x,y,z'
loop_
_atom_site_label
_atom_site_type_symbol
_atom_site_fract_x
_atom_site_fract_y
_atom_site_fract_z
Na1 Na 0.750 0.750 0.750
Ac1 Ac 0.000 0.000 0.000
Gd1 Gd 0.500 0.500 0.500
Cd1 Cd 0.250 0.250 0.250
```

=====

Record 4
Below is crystalline AcNdGdCd at its relaxed geometry, with properties calculated at the PBE level.

Computed properties:
theoretical density	8.1	g/cm3
total magnetic moment	2.00	μB/atom
symmetry	F-43m, No. 216
E_tot	-5.94	eV per atom
crystal system	cubic
ΔE_f	31	meV per atom

Geometry as CIF:
```
data_AcNdGdCd
_chemical_formula_sum 'Ac1 Nd1 Gd1 Cd1'
_cell_length_a 5.701
_cell_length_b 5.701
_cell_length_c 5.701
_cell_angle_alpha 60.00
_cell_angle_beta 60.00
_cell_angle_gamma 60.00
_symmetry_space_group_name_H-M 'P 1'
_symmetry_Int_Tables_number 1
loop_
_symmetry_equiv_pos_as_xyz
'x,y,z'
loop_
_atom_site_label
_atom_site_type_symbol
_atom_site_fract_x
_atom_site_fract_y
_atom_site_fract_z
Ac1 Ac 0.250 0.250 0.250
Gd1 Gd 0.500 0.500 0.500
Nd1 Nd 0.000 0.000 0.000
Cd1 Cd 0.750 0.750 0.750
```

=====

Record 5
Below is crystalline AcGdCdNi at its relaxed geometry, with properties calculated at the PBE level.

Computed properties:
theoretical density	8.6	g/cm3
total magnetic moment	1.79	μB/atom
symmetry	F-43m, No. 216
E_tot	-6.37	eV per atom
crystal system	cubic
ΔE_f	-146	meV per atom

Geometry as CIF:
```
data_AcGdCdNi
_chemical_formula_sum 'Ac1 Gd1 Cd1 Ni1'
_cell_length_a 5.326
_cell_length_b 5.326
_cell_length_c 5.326
_cell_angle_alpha 60.00
_cell_angle_beta 60.00
_cell_angle_gamma 60.00
_symmetry_space_group_name_H-M 'P 1'
_symmetry_Int_Tables_number 1
loop_
_symmetry_equiv_pos_as_xyz
'x,y,z'
loop_
_atom_site_label
_atom_site_type_symbol
_atom_site_fract_x
_atom_site_fract_y
_atom_site_fract_z
Ni1 Ni 0.250 0.250 0.250
Ac1 Ac 0.000 0.000 0.000
Gd1 Gd 0.500 0.500 0.500
Cd1 Cd 0.750 0.750 0.750
```

=====

Record 6
Below is crystalline AcGdCdOs at its relaxed geometry, with properties calculated at the PBE level.

Computed properties:
theoretical density	11.0	g/cm3
total magnetic moment	1.75	μB/atom
symmetry	F-43m, No. 216
E_tot	-7.57	eV per atom
crystal system	cubic
ΔE_f	11	meV per atom

Geometry as CIF:
```
data_AcGdCdOs
_chemical_formula_sum 'Ac1 Gd1 Cd1 Os1'
_cell_length_a 5.267
_cell_length_b 5.267
_cell_length_c 5.267
_cell_angle_alpha 60.00
_cell_angle_beta 60.00
_cell_angle_gamma 60.00
_symmetry_space_group_name_H-M 'P 1'
_symmetry_Int_Tables_number 1
loop_
_symmetry_equiv_pos_as_xyz
'x,y,z'
loop_
_atom_site_label
_atom_site_type_symbol
_atom_site_fract_x
_atom_site_fract_y
_atom_site_fract_z
Ac1 Ac 0.500 0.500 0.500
Gd1 Gd 0.000 0.000 0.000
Os1 Os 0.750 0.750 0.750
Cd1 Cd 0.250 0.250 0.250
```

=====

Record 7
Below is crystalline AcPrGdCd at its relaxed geometry, with properties calculated at the PBE level.

Computed properties:
theoretical density	8.0	g/cm3
total magnetic moment	2.00	μB/atom
symmetry	F-43m, No. 216
E_tot	-5.94	eV per atom
crystal system	cubic
ΔE_f	27	meV per atom

Geometry as CIF:
```
data_AcPrGdCd
_chemical_formula_sum 'Ac1 Pr1 Gd1 Cd1'
_cell_length_a 5.717
_cell_length_b 5.717
_cell_length_c 5.717
_cell_angle_alpha 60.00
_cell_angle_beta 60.00
_cell_angle_gamma 60.00
_symmetry_space_group_name_H-M 'P 1'
_symmetry_Int_Tables_number 1
loop_
_symmetry_equiv_pos_as_xyz
'x,y,z'
loop_
_atom_site_label
_atom_site_type_symbol
_atom_site_fract_x
_atom_site_fract_y
_atom_site_fract_z
Pr1 Pr 0.250 0.250 0.250
Ac1 Ac 0.000 0.000 0.000
Gd1 Gd 0.750 0.750 0.750
Cd1 Cd 0.500 0.500 0.500
```

=====

Record 8
Below is crystalline AcGdPuCd at its relaxed geometry, with properties calculated at the PBE level.

Computed properties:
theoretical density	9.8	g/cm3
total magnetic moment	3.59	μB/atom
symmetry	F-43m, No. 216
E_tot	-8.26	eV per atom
crystal system	cubic
ΔE_f	97	meV per atom

Geometry as CIF:
```
data_AcGdPuCd
_chemical_formula_sum 'Ac1 Gd1 Pu1 Cd1'
_cell_length_a 5.626
_cell_length_b 5.626
_cell_length_c 5.626
_cell_angle_alpha 60.00
_cell_angle_beta 60.00
_cell_angle_gamma 60.00
_symmetry_space_group_name_H-M 'P 1'
_symmetry_Int_Tables_number 1
loop_
_symmetry_equiv_pos_as_xyz
'x,y,z'
loop_
_atom_site_label
_atom_site_type_symbol
_atom_site_fract_x
_atom_site_fract_y
_atom_site_fract_z
Cd1 Cd 0.000 0.000 0.000
Ac1 Ac 0.250 0.250 0.250
Gd1 Gd 0.750 0.750 0.750
Pu1 Pu 0.500 0.500 0.500
```